Version i
# YCr3Fe

A relaxed YCr3Fe crystal (PBE, Alexandria).

Unit cell a=4.7179 b=4.7179 c=4.7179 alpha=90.00 beta=90.00 gamma=90.00
With the nearest neighbours (Å) after each atom.
Element x y z (fractional)
Cr1 0.5000 0.0000 0.0000  2 Y 2.36
Fe1 0.5000 0.5000 0.5000  12 Cr 3.34
Y1 0.0000 0.0000 0.0000  6 Cr 2.36
Cr2 0.0000 0.5000 0.0000  2 Y 2.36
Cr3 0.0000 0.0000 0.5000  2 Y 2.36

## Properties
- total moment (μB per atom) = 1.9847
- SG = Pm-3m, No. 221

=====

Version ii
# YCr3Fe

A relaxed YCr3Fe crystal (PBE, Alexandria).

Unit cell a=4.4111 b=4.4111 c=4.4111 alpha=90.00 beta=90.00 gamma=90.00
With the nearest neighbours (Å) after each atom.
Element x y z (fractional)
Cr1 0.5000 0.0000 0.0000  2 Fe 2.21
Fe1 0.0000 0.0000 0.0000  6 Cr 2.21
Y1 0.5000 0.5000 0.5000  12 Cr 3.12
Cr2 0.0000 0.5000 0.0000  2 Fe 2.21
Cr3 0.0000 0.0000 0.5000  2 Fe 2.21

## Properties
- total moment (μB per atom) = 1.0605
- SG = Pm-3m, No. 221

=====

Of them, version i has the lowest stability.

=====

Version i
# ZnCr2Fe2

A relaxed ZnCr2Fe2 crystal (PBE, Alexandria).

Unit cell a=6.7834 b=6.7834 c=2.5774 alpha=90.00 beta=90.00 gamma=90.00
With the nearest neighbours (Å) after each atom.
Element x y z (fractional)
Fe1 0.3708 0.8708 0.0000  6 Cr 2.37-2.38, 3 Fe 2.48-2.58
Cr1 0.8364 0.3364 0.5000  6 Fe 2.37-2.38, 2 Cr 2.58
Zn1 0.5000 0.5000 0.0000  2 Zn 2.58, 4 Fe 2.66, 8 Cr 2.85
Fe2 0.6292 0.1292 0.0000  6 Cr 2.37-2.38, 3 Fe 2.48-2.58
Cr2 0.6636 0.8364 0.5000  6 Fe 2.37-2.38, 2 Cr 2.58
Fe3 0.1292 0.3708 0.0000  6 Cr 2.37-2.38, 3 Fe 2.48-2.58
Cr3 0.1636 0.6636 0.5000  6 Fe 2.37-2.38, 2 Cr 2.58
Cr4 0.3364 0.1636 0.5000  6 Fe 2.37-2.38, 2 Cr 2.58
Fe4 0.8708 0.6292 0.0000  6 Cr 2.37-2.38, 3 Fe 2.48-2.58
Zn2 0.0000 0.0000 0.0000  2 Zn 2.58, 4 Fe 2.66, 8 Cr 2.85

## Properties
- total moment (μB per atom) = 0.0000
- SG = P4/mbm, No. 127

=====

Version ii
# ZnCr2Fe2

A relaxed ZnCr2Fe2 crystal (PBE, Alexandria).

Unit cell a=6.8943 b=6.8943 c=2.5402 alpha=90.00 beta=90.00 gamma=90.00
With the nearest neighbours (Å) after each atom.
Element x y z (fractional)
Fe1 0.1464 0.6464 0.5000  6 Cr 2.37-2.41, 2 Fe 2.54
Cr1 0.6434 0.1434 0.0000  6 Fe 2.37-2.41, 2 Cr 2.54, 2 Zn 2.65
Fe2 0.3536 0.1464 0.5000  6 Cr 2.37-2.41, 2 Fe 2.54
Zn1 0.5000 0.5000 0.0000  2 Zn 2.54, 4 Cr 2.65
Fe3 0.6464 0.8536 0.5000  6 Cr 2.37-2.41, 2 Fe 2.54
Cr2 0.8566 0.6434 0.0000  6 Fe 2.37-2.41, 2 Cr 2.54, 2 Zn 2.65
Zn2 0.0000 0.0000 0.0000  2 Zn 2.54, 4 Cr 2.65
Cr3 0.3566 0.8566 0.0000  6 Fe 2.37-2.41, 2 Cr 2.54, 2 Zn 2.65
Fe4 0.8536 0.3536 0.5000  6 Cr 2.37-2.41, 2 Fe 2.54
Cr4 0.1434 0.3566 0.0000  6 Fe 2.37-2.41, 2 Cr 2.54, 2 Zn 2.65

## Properties
- total moment (μB per atom) = 0.0000
- SG = P4/mbm, No. 127

=====

Of them, version ii has the lowest stability.